No. 1
A plane-wave DFT calculation with PBE was carried out for a geometry-optimized CoIr2Os structure.

a b c (Å): 4.639 4.639 4.637
angles (deg): 99.80 99.80 33.83
Positions (direct):
Co1 0.000 0.000 0.000
Ir1 0.501 0.501 0.510
Ir2 0.748 0.748 0.237
Os1 0.252 0.252 0.750

Output
SG	Cm, No. 8
crystal system	monoclinic
energy of formation from the pure elements	0.058	eV/atom

***

No. 2
A plane-wave DFT calculation with PBE was carried out for a geometry-optimized TbLuSc2 structure.

a b c (Å): 5.375 5.375 5.375
angles (deg): 60.00 60.00 60.00
Positions (direct):
Tb1 0.000 0.000 0.000
Lu1 0.500 0.500 0.500
Sc1 0.250 0.250 0.250
Sc2 0.750 0.750 0.750

Output
SG	Fm-3m, No. 225
crystal system	cubic
energy of formation from the pure elements	0.097	eV/atom

***

No. 3
A plane-wave DFT calculation with PBE was carried out for a geometry-optimized CoRe2Rh structure.

a b c (Å): 8.818 8.818 8.818
angles (deg): 17.80 17.80 17.80
Positions (direct):
Co1 0.000 0.000 0.000
Re1 0.501 0.501 0.501
Re2 0.747 0.747 0.747
Rh1 0.252 0.252 0.252

Output
SG	R3m, No. 160
crystal system	trigonal
energy of formation from the pure elements	0.086	eV/atom

***

No. 4
A plane-wave DFT calculation with PBE was carried out for a geometry-optimized Tb3Sm2Y6In structure.

a b c (Å): 6.129 6.129 11.735
angles (deg): 95.01 95.01 120.03
Positions (direct):
Tb1 0.000 0.000 0.000
Tb2 0.333 0.667 0.000
Tb3 0.667 0.333 0.000
Sm1 0.166 0.834 0.500
Sm2 0.834 0.166 0.500
Y1 0.091 0.418 0.253
Y2 0.255 0.255 0.749
Y3 0.418 0.091 0.253
Y4 0.582 0.909 0.747
Y5 0.745 0.745 0.251
Y6 0.909 0.582 0.747
In1 0.500 0.500 0.500

Output
SG	C2/m, No. 12
crystal system	monoclinic
energy of formation from the pure elements	-0.051	eV/atom

***

No. 5
A plane-wave DFT calculation with PBE was carried out for a geometry-optimized BaSi2Ag2 structure.

a b c (Å): 8.369 8.369 3.090
angles (deg): 90.00 90.00 90.00
Positions (direct):
Ba1 0.000 0.000 0.000
Ba2 0.500 0.500 0.000
Si1 0.137 0.363 0.000
Si2 0.363 0.863 0.000
Si3 0.637 0.137 0.000
Si4 0.863 0.637 0.000
Ag1 0.141 0.641 0.500
Ag2 0.359 0.141 0.500
Ag3 0.641 0.859 0.500
Ag4 0.859 0.359 0.500

Output
energy relative to the elements, uncorrected	0.2202	eV per atom
SG	P4/mbm, No. 127
crystal system	tetragonal

***

No. 6
A plane-wave DFT calculation with PBE was carried out for a geometry-optimized Ac3La2Pr3 structure.

a b c (Å): 5.404 5.422 10.751
angles (deg): 90.00 90.00 90.00
Positions (direct):
Ac1 0.000 0.000 0.000
Ac2 0.000 0.000 0.500
Ac3 0.500 0.500 0.000
La1 0.000 0.500 0.254
La2 0.000 0.500 0.746
Pr1 0.500 0.000 0.254
Pr2 0.500 0.000 0.746
Pr3 0.500 0.500 0.500

Output
SG	Pmmm, No. 47
crystal system	orthorhombic
energy of formation from the pure elements	0.016	eV/atom

***

No. 7
A plane-wave DFT calculation with PBE was carried out for a geometry-optimized Ac2Pr5Sm6 structure.

a b c (Å): 12.185 21.077 3.723
angles (deg): 90.00 90.00 90.00
Positions (direct):
Ac1 0.170 0.222 0.000
Ac2 0.330 0.722 0.000
Ac3 0.670 0.278 0.000
Ac4 0.830 0.778 0.000
Pr1 0.000 0.500 0.500
Pr2 0.089 0.784 0.500
Pr3 0.202 0.055 0.500
Pr4 0.298 0.555 0.500
Pr5 0.411 0.284 0.500
Pr6 0.500 0.000 0.500
Pr7 0.589 0.716 0.500
Pr8 0.702 0.445 0.500
Pr9 0.798 0.945 0.500
Pr10 0.911 0.216 0.500
Sm1 0.061 0.926 0.000
Sm2 0.070 0.639 0.000
Sm3 0.184 0.378 0.500
Sm4 0.316 0.878 0.500
Sm5 0.430 0.139 0.000
Sm6 0.439 0.426 0.000
Sm7 0.561 0.574 0.000
Sm8 0.570 0.861 0.000
Sm9 0.684 0.122 0.500
Sm10 0.816 0.622 0.500
Sm11 0.930 0.361 0.000
Sm12 0.939 0.074 0.000

Output
SG	Pbam, No. 55
crystal system	orthorhombic
energy of formation from the pure elements	0.095	eV/atom

***

No. 8
A plane-wave DFT calculation with PBE was carried out for a geometry-optimized AgI3Br structure.

a b c (Å): 5.673 5.673 5.673
angles (deg): 90.00 90.00 90.00
Positions (direct):
Ag1 0.000 0.000 0.000
I1 0.000 0.000 0.500
I2 0.000 0.500 0.000
I3 0.500 0.000 0.000
Br1 0.500 0.500 0.500

Output
energy relative to the elements, uncorrected	0.2800	eV per atom
SG	Pm-3m, No. 221
crystal system	cubic

***

No. 9
A plane-wave DFT calculation with PBE was carried out for a geometry-optimized TePb2Se structure.

a b c (Å): 5.568 5.568 3.795
angles (deg): 90.00 90.00 90.00
Positions (direct):
Te1 0.000 0.000 0.000
Pb1 0.000 0.500 0.500
Pb2 0.500 0.000 0.500
Se1 0.500 0.500 0.000

Output
energy relative to the elements, uncorrected	-0.2301	eV per atom
SG	P4/mmm, No. 123
crystal system	tetragonal

***

No. 10
A plane-wave DFT calculation with PBE was carried out for a geometry-optimized MgSbHPt2 structure.

a b c (Å): 5.098 5.098 3.543
angles (deg): 90.00 90.00 90.00
Positions (direct):
Mg1 0.000 0.000 0.000
Sb1 0.500 0.500 0.500
H1 0.500 0.500 0.000
Pt1 0.000 0.500 0.500
Pt2 0.500 0.000 0.500

Output
SG	P4/mmm, No. 123
total energy	-4.17	eV/atom
crystal system	tetragonal

***

No. 11
A plane-wave DFT calculation with PBE was carried out for a geometry-optimized CsTeN2O structure.

a b c (Å): 4.574 4.574 4.283
angles (deg): 90.00 90.00 90.00
Positions (direct):
Cs1 0.000 0.000 0.000
Te1 0.500 0.500 0.500
N1 0.000 0.500 0.000
N2 0.500 0.000 0.000
O1 0.000 0.000 0.500

Output
energy relative to the elements, uncorrected	2.3078	eV per atom
SG	P4/mmm, No. 123
crystal system	tetragonal

***

No. 12
A plane-wave DFT calculation with PBE was carried out for a geometry-optimized RbTl6Se4 structure.

a b c (Å): 9.398 9.398 4.677
angles (deg): 90.00 90.00 120.00
Positions (direct):
Rb1 0.000 0.000 0.000
Tl1 0.198 0.395 0.500
Tl2 0.198 0.802 0.500
Tl3 0.543 0.087 0.000
Tl4 0.543 0.457 0.000
Tl5 0.605 0.802 0.500
Tl6 0.913 0.457 0.000
Se1 0.333 0.667 0.000
Se2 0.337 0.168 0.500
Se3 0.832 0.168 0.500
Se4 0.832 0.663 0.500

Output
energy relative to the elements, uncorrected	-0.4195	eV per atom
SG	P-6m2, No. 187
crystal system	hexagonal